Record 1
Entry from the Alexandria database: a geometry-optimized Ac6As2P3Se structure (PBE).

Unit cell a=10.029 b=10.029 c=8.984 alpha=103.08 beta=103.08 gamma=25.82
Sites, in units of the cell vectors:
Ac 0.002 0.002 0.240
Ac 0.330 0.330 0.419
Ac 0.334 0.334 0.914
Ac 0.666 0.666 0.086
Ac 0.670 0.670 0.581
Ac 0.998 0.998 0.760
As 0.165 0.165 0.831
As 0.835 0.835 0.169
P 0.166 0.166 0.334
P 0.500 0.500 0.000
P 0.834 0.834 0.666
Se 0.500 0.500 0.500

Computed properties:
Space group ... C2/m, No. 12
Uncorrected formation energy ... -1.59 eV per atom
Crystal system ... monoclinic

***

Record 2
Entry from the Alexandria database: a geometry-optimized Ac6As2PSe3 structure (PBE).

Unit cell a=10.066 b=10.066 c=9.000 alpha=103.19 beta=103.19 gamma=25.76
Sites, in units of the cell vectors:
Ac 0.002 0.002 0.238
Ac 0.332 0.332 0.422
Ac 0.338 0.338 0.914
Ac 0.662 0.662 0.086
Ac 0.668 0.668 0.578
Ac 0.998 0.998 0.762
As 0.167 0.167 0.333
As 0.833 0.833 0.667
P 0.500 0.500 0.000
Se 0.168 0.168 0.833
Se 0.500 0.500 0.500
Se 0.832 0.832 0.167

Computed properties:
Space group ... C2/m, No. 12
Uncorrected formation energy ... -1.74 eV per atom
Crystal system ... monoclinic